First-principles (GGA-PBE) data for crystalline LaCeNdSn at its relaxed geometry, as listed in the Alexandria database.

- Symmetry: No. 216

a = 5.5538 Å, b = 5.5538 Å, c = 5.5538 Å
α = 60.00°, β = 60.00°, γ = 60.00°
Each line ends with the local moment (μB).
Atoms (fractional coordinates):
Sn 0.5000 0.5000 0.5000  -0.02
Ce 0.0000 0.0000 0.0000  0.62
Nd 0.2500 0.2500 0.2500  0.02
La 0.7500 0.7500 0.7500  0.02

***

First-principles (GGA-PBE) data for crystalline La6TbCeNd2 at its relaxed geometry, as listed in the Alexandria database.

- Symmetry: No. 12

a = 10.0004 Å, b = 6.9924 Å, c = 6.8599 Å
α = 120.64°, β = 115.33°, γ = 90.00°
Each line ends with the local moment (μB).
Atoms (fractional coordinates):
La 0.8189 0.4620 0.3709  0.00
La 0.4196 0.6499 0.2999  0.00
La 0.1811 0.5380 0.6291  0.00
La 0.8189 0.9090 0.3709  0.00
La 0.1811 0.0910 0.6291  0.00
La 0.5804 0.3501 0.7001  0.00
Ce 0.0000 0.5000 0.0000  0.73
Nd 0.1963 0.0618 0.1236  0.00
Nd 0.8037 0.9382 0.8764  0.00
Tb 0.5000 0.0000 0.0000  -0.02

***

First-principles (GGA-PBE) data for crystalline La5Tb2CeNd at its relaxed geometry, as listed in the Alexandria database.

- Symmetry: No. 127

a = 9.3778 Å, b = 8.2912 Å, c = 8.2912 Å
α = 90.00°, β = 90.00°, γ = 90.00°
Each line ends with the local moment (μB).
Atoms (fractional coordinates):
La 0.7727 0.3097 0.1903  0.06
La 0.5000 0.0000 0.0000  -0.03
La 0.2273 0.1903 0.6903  0.06
La 0.2273 0.3097 0.1903  0.06
La 0.7727 0.1903 0.6903  0.06
La 0.5000 0.5000 0.5000  -0.03
La 0.2273 0.8097 0.3097  0.06
La 0.7727 0.6903 0.8097  0.06
La 0.7727 0.8097 0.3097  0.06
La 0.2273 0.6903 0.8097  0.06
Tb 0.5000 0.3708 0.8708  -0.03
Tb 0.5000 0.1292 0.3708  -0.03
Tb 0.5000 0.6292 0.1292  -0.03
Tb 0.5000 0.8708 0.6292  -0.03
Ce 0.0000 0.5000 0.0000  0.78
Ce 0.0000 0.0000 0.5000  0.78
Nd 0.0000 0.0000 0.0000  0.04
Nd 0.0000 0.5000 0.5000  0.04

***

First-principles (GGA-PBE) data for crystalline LaTb2CeNd2 at its relaxed geometry, as listed in the Alexandria database.

- Symmetry: No. 58

a = 3.4024 Å, b = 6.5925 Å, c = 18.2214 Å
α = 90.00°, β = 90.00°, γ = 90.00°
Each line ends with the local moment (μB).
Atoms (fractional coordinates):
Nd 0.0000 0.2065 0.8132  -0.01
Nd 0.5000 0.7065 0.6868  -0.01
Nd 0.5000 0.2935 0.3132  -0.01
Nd 0.0000 0.7935 0.1868  -0.01
Tb 0.5000 0.2015 0.6454  0.04
Tb 0.5000 0.7985 0.3546  0.04
Tb 0.0000 0.2985 0.1454  0.04
Tb 0.0000 0.7015 0.8546  0.04
La 0.5000 0.5000 0.5000  0.03
La 0.0000 0.0000 0.0000  0.03
Ce 0.5000 0.5000 0.0000  0.71
Ce 0.0000 0.0000 0.5000  0.71

***

It is found that the total DFT energy (no corrections) values, taken in the order of the records, are -20.52; -47.64; -84.28; -56.04 eV/cell.
It is found that the ΔH_f (0 K) values, taken in the order of the records, are -221.3; 202.2; 273.1; 273.3 meV/atom.